Computed, not measured: a relaxed structure of RbGaSi at the PBE level of DFT.

a b c (Å): 3.7765 5.0070 11.4216
angles (deg): 77.76 81.12 89.98
Last column: nearest neighbours and their distance in Å.
Space group P1 (No. 1)
One atom of each set of equivalent atoms:
Rb1 0.0000 0.0000 0.0000  5 Si 3.54-3.73, 2 Ga 3.76, 2 Rb 3.78
Rb2 0.2765 0.3035 0.4066  6 Ga 3.62-3.81, 1 Si 3.69, 2 Rb 3.78
Ga1 0.6382 0.1009 0.7059  3 Si 2.58-2.60, 1 Ga 2.67
Ga2 0.7006 0.7238 0.5706  3 Si 2.65-2.80, 1 Ga 2.67
Si1 0.1346 0.4554 0.7125  2 Si 2.46, 4 Ga 2.60-2.65
Si2 0.5822 0.5989 0.8245  2 Si 2.46, 1 Ga 2.58


Computed, not measured: a relaxed structure of RbGaSi at the PBE level of DFT.

a b c (Å): 11.6030 4.1529 7.4906
angles (deg): 90.00 100.93 90.00
Last column: nearest neighbours and their distance in Å.
Space group C2/m (No. 12)
One atom of each set of equivalent atoms:
Rb1 0.1144 0.0000 0.3370  5 Si 3.52-3.90, 4 Ga 3.56-3.60, 1 Rb 3.93
Ga1 0.0991 0.5000 0.9466  3 Si 2.52-2.54, 1 Ga 2.58
Si1 0.1966 0.0000 0.8558  3 Ga 2.52-2.54


Computed, not measured: a relaxed structure of RbGaSi at the PBE level of DFT.

a b c (Å): 4.1522 5.8350 7.3653
angles (deg): 90.00 90.00 90.00
Last column: nearest neighbours and their distance in Å.
Space group Pmma (No. 51)
One atom of each set of equivalent atoms:
Rb1 0.2500 0.0000 0.2435  6 Si 3.77-3.78, 6 Ga 3.79-3.86, 4 Rb 4.14-4.15
Ga1 0.2500 0.5000 0.5873  1 Si 2.42, 2 Ga 2.44
Si1 0.2500 0.5000 0.9163  2 Si 2.41, 1 Ga 2.42


Computed, not measured: a relaxed structure of RbGaSi at the PBE level of DFT.

a b c (Å): 7.1926 8.1409 7.3164
angles (deg): 90.00 119.11 90.00
Last column: nearest neighbours and their distance in Å.
Space group P2_1/c (No. 14)
One atom of each set of equivalent atoms:
Rb1 0.0620 0.2482 0.0235  2 Ga 3.47-3.58, 2 Si 3.53-3.57, 2 Rb 3.66
Ga1 0.4519 0.6210 0.0691  2 Si 2.45-2.46, 1 Ga 2.46
Si1 0.4355 0.6173 0.3971  1 Si 2.33, 2 Ga 2.45-2.46


Computed, not measured: a relaxed structure of RbGaSi at the PBE level of DFT.

a b c (Å): 6.9752 6.1623 4.3591
angles (deg): 90.00 90.00 90.00
Last column: nearest neighbours and their distance in Å.
Space group Pmma (No. 51)
One atom of each set of equivalent atoms:
Rb1 0.2500 0.0000 0.2395  2 Si 3.51, 4 Ga 3.69
Ga1 0.0000 0.5000 0.0000  2 Si 2.40
Si1 0.2500 0.5000 0.6230  2 Ga 2.40


Computed, not measured: a relaxed structure of RbGa3Si at the PBE level of DFT.

Energy relative to the lowest polymorph listed for this composition ... 0 meV per atom

a b c (Å): 7.6210 4.3372 8.5645
angles (deg): 90.00 113.46 90.00
Last column: nearest neighbours and their distance in Å.
Space group P2_1 (No. 4)
One atom of each set of equivalent atoms:
Rb1 0.2450 0.0000 0.4961  7 Ga 3.50-3.87, 3 Si 3.57-3.88
Ga1 0.0836 0.9364 0.8644  2 Si 2.52-2.54, 3 Ga 2.59-2.82
Ga2 0.2567 0.5649 0.1556  4 Ga 2.54-2.82, 1 Si 2.65
Ga3 0.4269 0.0728 0.1354  2 Si 2.51-2.78, 3 Ga 2.54-2.78
Si1 0.2468 0.4386 0.8492  5 Ga 2.51-2.78


| no. | formation energy (no corrections) (meV/atom) |
| --- | --- |
| 1 | 48.8 |
| 2 | 12.5 |
| 3 | -41.7 |
| 4 | 27.5 |
| 5 | 171.4 |
| 6 | -24.7 |